[1]
Material: PrZrAgSn
Method: DFT, PBE-GGA
State: optimized geometry

Output
Final energy (eV/atom): -5.335
Crystal system: cubic
Space-group type: F-43m, No. 216
Magnetic moment (μB/f.u.): 0.00

a b c (Å): 5.188 5.188 5.188
angles (deg): 60.00 60.00 60.00
Atoms (fractional coordinates):
Pr  0.000  0.000  0.000
Zr  0.500  0.500  0.500
Ag  0.750  0.750  0.750
Sn  0.250  0.250  0.250


[2]
Material: SrPr2Ag4
Method: DFT, PBE-GGA
State: optimized geometry

Output
Final energy (eV/atom): -3.322
Crystal system: trigonal
Space-group type: R-3m, No. 166
Magnetic moment (μB/f.u.): 0.00

a b c (Å): 10.290 10.290 10.290
angles (deg): 28.67 28.67 28.67
Atoms (fractional coordinates):
Sr  0.000  0.000  0.000
Pr  0.212  0.212  0.212
Pr  0.788  0.788  0.788
Ag  0.105  0.105  0.105
Ag  0.409  0.409  0.409
Ag  0.591  0.591  0.591
Ag  0.895  0.895  0.895


[3]
Material: SrPr3Ag4
Method: DFT, PBE-GGA
State: optimized geometry

Output
Final energy (eV/atom): -3.673
Crystal system: tetragonal
Space-group type: P4/mmm, No. 123
Magnetic moment (μB/f.u.): 0.00

a b c (Å): 5.406 5.406 7.587
angles (deg): 90.00 90.00 90.00
Atoms (fractional coordinates):
Sr  0.000  0.000  0.000
Pr  0.000  0.000  0.500
Pr  0.500  0.500  0.000
Pr  0.500  0.500  0.500
Ag  0.000  0.500  0.261
Ag  0.000  0.500  0.739
Ag  0.500  0.000  0.261
Ag  0.500  0.000  0.739


[4]
Material: SrPrAg3
Method: DFT, PBE-GGA
State: optimized geometry

Output
Final energy (eV/atom): -3.259
Crystal system: orthorhombic
Space-group type: Cmcm, No. 63
Magnetic moment (μB/f.u.): 0.00

a b c (Å): 14.530 14.530 4.813
angles (deg): 90.00 90.00 164.29
Atoms (fractional coordinates):
Sr  0.074  0.926  0.750
Sr  0.926  0.074  0.250
Pr  0.207  0.793  0.250
Pr  0.793  0.207  0.750
Ag  0.322  0.678  0.250
Ag  0.379  0.621  0.750
Ag  0.475  0.525  0.750
Ag  0.525  0.475  0.250
Ag  0.621  0.379  0.250
Ag  0.678  0.322  0.750


[5]
Material: SrPr2Ag3
Method: DFT, PBE-GGA
State: optimized geometry

Output
Final energy (eV/atom): -3.552
Crystal system: tetragonal
Space-group type: P4/mmm, No. 123
Magnetic moment (μB/f.u.): 0.00

a b c (Å): 3.806 3.806 11.665
angles (deg): 90.00 90.00 90.00
Atoms (fractional coordinates):
Sr  0.000  0.000  0.000
Pr  0.000  0.000  0.336
Pr  0.000  0.000  0.664
Ag  0.500  0.500  0.185
Ag  0.500  0.500  0.500
Ag  0.500  0.500  0.815


[6]
Material: SrPrAg4
Method: DFT, PBE-GGA
State: optimized geometry

Output
Final energy (eV/atom): -3.231
Excess energy over the best structure of this formula in the dataset (eV per atom): 0.000
Crystal system: orthorhombic
Space-group type: Immm, No. 71
Magnetic moment (μB/f.u.): 0.00

a b c (Å): 6.187 6.187 6.187
angles (deg): 134.70 102.63 94.47
Atoms (fractional coordinates):
Sr  0.000  0.000  0.000
Pr  0.500  0.000  0.500
Ag  0.103  0.334  0.769
Ag  0.436  0.666  0.769
Ag  0.564  0.334  0.231
Ag  0.897  0.666  0.231


[7]
Material: SrPrAg2
Method: DFT, PBE-GGA
State: optimized geometry

Output
Final energy (eV/atom): -3.305
Excess energy over the best structure of this formula in the dataset (eV per atom): 0.000
Crystal system: tetragonal
Space-group type: P4/mmm, No. 123
Magnetic moment (μB/f.u.): 0.00

a b c (Å): 3.857 3.857 7.750
angles (deg): 90.00 90.00 90.00
Atoms (fractional coordinates):
Sr  0.000  0.000  0.000
Pr  0.000  0.000  0.500
Ag  0.500  0.500  0.279
Ag  0.500  0.500  0.721


[8]
Material: Sr2PrAg
Method: DFT, PBE-GGA
State: optimized geometry

Output
Final energy (eV/atom): -2.780
Excess energy over the best structure of this formula in the dataset (eV per atom): 0.000
Crystal system: tetragonal
Space-group type: P4/mmm, No. 123
Magnetic moment (μB/f.u.): 0.00

a b c (Å): 3.821 3.821 10.181
angles (deg): 90.00 90.00 90.00
Atoms (fractional coordinates):
Sr  0.000  0.000  0.201
Sr  0.000  0.000  0.799
Pr  0.500  0.500  0.500
Ag  0.500  0.500  0.000